8
Lattice="-3.4451 3.4451 2.7046 3.4451 -3.4451 2.7046 3.4451 3.4451 -2.7046" Properties=species:S:1:pos:R:3 comment="Mg2CoCu PBE-GGA relaxed" total_magnetization_mub_per_fu=0.5 energy_ev_per_atom=-3.1949 space_group="No. 122" dos_at_fermi_per_ev_cell=9.98 ef_ev_per_atom=0.403 pbc="T T T"
Mg 5.1676 1.7164 -0.6762
Mg 1.7164 1.7225 0.6762
Mg -1.7225 1.7287 2.0285
Mg 1.7287 1.7225 3.3808
Co 3.4451 0.0000 1.3523
Co 0.0000 0.0000 2.7046
Cu 0.0000 0.0000 0.0000
Cu 0.0000 3.4451 1.3523